Here is Ac2InAgO6 after structural relaxation from Alexandria. Energies are from PBE.

- formation energy from raw total energies (meV per atom) = -1925
- crystal system = tetragonal
- total magnetization (μB per cell) = 0.0
- VASP energy (eV per atom) = -6.28

a b c (Å): 5.9181 5.9181 4.3935
angles (deg): 90.00 90.00 90.00
Closest atoms and distances in Å follow each position.
Fractional positions:
1 Ac 0.0000 0.5000 0.0000  4 O 2.61
2 Ac 0.5000 0.0000 0.0000  4 O 2.61
3 In 0.0000 0.0000 0.5640  6 O 2.09-2.30
4 Ag 0.5000 0.5000 0.5903  6 O 2.12-2.23
5 O 0.0000 0.0000 0.0877  2 In 2.09-2.30
6 O 0.2483 0.2483 0.6462  1 In 2.11, 1 Ag 2.12
7 O 0.2483 0.7517 0.6462  1 In 2.11, 1 Ag 2.12
8 O 0.5000 0.5000 0.0970  2 Ag 2.17-2.23
9 O 0.7517 0.2483 0.6462  1 In 2.11, 1 Ag 2.12
10 O 0.7517 0.7517 0.6462  1 In 2.11, 1 Ag 2.12

Here is Ac2In4Ag3Pb after structural relaxation from Alexandria. Energies are from PBE.

- crystal system = tetragonal
- total magnetization (μB per cell) = 0.0
- VASP energy (eV per atom) = -3.45
- energy of formation from the pure elements (eV/atom) = -0.305

a b c (Å): 4.7462 4.7462 12.0684
angles (deg): 90.00 90.00 90.00
Closest atoms and distances in Å follow each position.
Fractional positions:
1 Ac 0.0000 0.5000 0.2412  8 In 3.62-3.76, 6 Ag 3.62-3.92, 2 Pb 3.92
2 Ac 0.5000 0.0000 0.7588  8 In 3.62-3.76, 6 Ag 3.62-3.92, 2 Pb 3.92
3 In 0.0000 0.0000 0.0000  4 Ag 2.84
4 In 0.0000 0.5000 0.6474  3 Ag 2.69-2.97, 2 Pb 2.97
5 In 0.5000 0.0000 0.3526  3 Ag 2.69-2.97, 2 Pb 2.97
6 In 0.5000 0.5000 0.0000  4 Ag 2.84
7 Ag 0.0000 0.5000 0.8704  5 In 2.69-2.84
8 Ag 0.5000 0.0000 0.1296  5 In 2.69-2.84
9 Ag 0.5000 0.5000 0.5000  4 In 2.97
10 Pb 0.0000 0.0000 0.5000  4 In 2.97

Here is Ac2In4AgPd3 after structural relaxation from Alexandria. Energies are from PBE.

- crystal system = tetragonal
- total magnetization (μB per cell) = 0.0
- VASP energy (eV per atom) = -4.34
- energy of formation from the pure elements (eV/atom) = -0.576

a b c (Å): 4.5891 4.5891 11.6603
angles (deg): 90.00 90.00 90.00
Closest atoms and distances in Å follow each position.
Fractional positions:
1 Ac 0.0000 0.5000 0.2448  6 Pd 3.48-3.76, 8 In 3.56-3.66, 2 Ag 3.76
2 Ac 0.5000 0.0000 0.7552  6 Pd 3.48-3.76, 8 In 3.56-3.66, 2 Ag 3.76
3 In 0.0000 0.0000 0.0000  4 Pd 2.80
4 In 0.0000 0.5000 0.6299  3 Pd 2.71-2.75, 2 Ag 2.75
5 In 0.5000 0.0000 0.3701  3 Pd 2.71-2.75, 2 Ag 2.75
6 In 0.5000 0.5000 0.0000  4 Pd 2.80
7 Ag 0.0000 0.0000 0.5000  4 In 2.75
8 Pd 0.0000 0.5000 0.8624  5 In 2.71-2.80
9 Pd 0.5000 0.0000 0.1376  5 In 2.71-2.80
10 Pd 0.5000 0.5000 0.5000  4 In 2.75

Here is AcInAgPd after structural relaxation from Alexandria. Energies are from PBE.

- crystal system = cubic
- relative energy among the computed polymorphs (eV per formula unit) = 0.34
- total magnetization (μB per cell) = 0.0
- VASP energy (eV per atom) = -4.15
- energy of formation from the pure elements (eV/atom) = -0.431

a b c (Å): 5.1708 5.1708 5.1708
angles (deg): 60.00 60.00 60.00
Closest atoms and distances in Å follow each position.
Fractional positions:
1 Ac 0.0000 0.0000 0.0000  4 Ag 3.17, 4 Pd 3.17
2 In 0.5000 0.5000 0.5000  4 Ag 3.17, 4 Pd 3.17
3 Ag 0.7500 0.7500 0.7500  4 Ac 3.17, 4 In 3.17
4 Pd 0.2500 0.2500 0.2500  4 Ac 3.17, 4 In 3.17

Here is AcInAgPd after structural relaxation from Alexandria. Energies are from PBE.

- crystal system = trigonal
- relative energy among the computed polymorphs (eV per formula unit) = 0.00
- total magnetization (μB per cell) = 0.0
- VASP energy (eV per atom) = -4.24
- energy of formation from the pure elements (eV/atom) = -0.517

a b c (Å): 5.7762 5.7762 5.7762
angles (deg): 49.26 49.26 49.26
Closest atoms and distances in Å follow each position.
Fractional positions:
1 Ac 0.0000 0.0000 0.0000  4 Pd 3.12-3.39, 4 Ag 3.23-3.33
2 In 0.4819 0.4819 0.4819  3 Pd 2.80, 3 Ag 2.94
3 Ag 0.2125 0.2125 0.2125  3 In 2.94, 3 Pd 3.06, 1 Ac 3.23
4 Pd 0.7948 0.7948 0.7948  3 In 2.80, 3 Ag 3.06, 1 Ac 3.12

Here is AcInAg2Pd4 after structural relaxation from Alexandria. Energies are from PBE.

- crystal system = trigonal
- total magnetization (μB per cell) = 0.0
- VASP energy (eV per atom) = -4.60
- energy of formation from the pure elements (eV/atom) = -0.430

a b c (Å): 8.8590 8.8590 8.8590
angles (deg): 30.43 30.43 30.43
Closest atoms and distances in Å follow each position.
Fractional positions:
1 Ac 0.0000 0.0000 0.0000  8 Pd 3.11-3.24
2 In 0.5000 0.5000 0.5000  8 Pd 2.66-2.86
3 Ag 0.2434 0.2434 0.2434  7 Pd 2.78-2.92
4 Ag 0.7566 0.7566 0.7566  7 Pd 2.78-2.92
5 Pd 0.1280 0.1280 0.1280  4 Ag 2.85-2.92, 3 In 2.86, 3 Pd 3.17
6 Pd 0.3950 0.3950 0.3950  1 In 2.66, 3 Ag 2.78
7 Pd 0.6050 0.6050 0.6050  1 In 2.66, 3 Ag 2.78
8 Pd 0.8720 0.8720 0.8720  4 Ag 2.85-2.92, 3 In 2.86, 3 Pd 3.17

Here is Ac2In3AgPd12 after structural relaxation from Alexandria. Energies are from PBE.

- crystal system = trigonal
- total magnetization (μB per cell) = 0.0
- VASP energy (eV per atom) = -4.95
- energy of formation from the pure elements (eV/atom) = -0.416

a b c (Å): 7.1312 7.1312 7.1312
angles (deg): 83.13 83.13 83.13
Closest atoms and distances in Å follow each position.
Fractional positions:
1 Ac 0.1517 0.1517 0.1517  9 Pd 2.82-3.14
2 Ac 0.8483 0.8483 0.8483  9 Pd 2.82-3.14
3 In 0.0000 0.5000 0.5000  6 Pd 2.76-2.84
4 In 0.5000 0.0000 0.5000  6 Pd 2.76-2.84
5 In 0.5000 0.5000 0.0000  6 Pd 2.76-2.84
6 Ag 0.5000 0.5000 0.5000  6 Pd 2.70
7 Pd 0.1072 0.1072 0.5971  4 Pd 2.69-2.96, 2 In 2.84
8 Pd 0.1072 0.5971 0.1072  4 Pd 2.69-2.96, 2 In 2.84
9 Pd 0.2099 0.6959 0.6959  5 Pd 2.69-2.96, 1 Ag 2.70, 1 In 2.76, 1 Ac 2.82
10 Pd 0.3041 0.3041 0.7901  5 Pd 2.69-2.96, 1 Ag 2.70, 1 In 2.76, 1 Ac 2.82
11 Pd 0.3041 0.7901 0.3041  5 Pd 2.69-2.96, 1 Ag 2.70, 1 In 2.76, 1 Ac 2.82
12 Pd 0.4029 0.8928 0.8928  4 Pd 2.69-2.96, 2 In 2.84
13 Pd 0.5971 0.1072 0.1072  4 Pd 2.69-2.96, 2 In 2.84
14 Pd 0.6959 0.2099 0.6959  5 Pd 2.69-2.96, 1 Ag 2.70, 1 In 2.76, 1 Ac 2.82
15 Pd 0.6959 0.6959 0.2099  5 Pd 2.69-2.96, 1 Ag 2.70, 1 In 2.76, 1 Ac 2.82
16 Pd 0.7901 0.3041 0.3041  5 Pd 2.69-2.96, 1 Ag 2.70, 1 In 2.76, 1 Ac 2.82
17 Pd 0.8928 0.4029 0.8928  4 Pd 2.69-2.96, 2 In 2.84
18 Pd 0.8928 0.8928 0.4029  4 Pd 2.69-2.96, 2 In 2.84

Here is Ac2InAgPd6 after structural relaxation from Alexandria. Energies are from PBE.

- crystal system = cubic
- total magnetization (μB per cell) = 0.0
- VASP energy (eV per atom) = -4.64
- energy of formation from the pure elements (eV/atom) = -0.145

a b c (Å): 7.0687 7.0687 7.0687
angles (deg): 60.00 60.00 60.00
Closest atoms and distances in Å follow each position.
Fractional positions:
1 Ac 0.2500 0.2500 0.2500  12 Pd 3.53
2 Ac 0.7500 0.7500 0.7500  12 Pd 3.53
3 In 0.0000 0.0000 0.0000  6 Pd 2.49
4 Ag 0.5000 0.5000 0.5000  6 Pd 2.51
5 Pd 0.2492 0.2492 0.7508  1 In 2.49, 1 Ag 2.51
6 Pd 0.2492 0.7508 0.2492  1 In 2.49, 1 Ag 2.51
7 Pd 0.2492 0.7508 0.7508  1 In 2.49, 1 Ag 2.51
8 Pd 0.7508 0.2492 0.2492  1 In 2.49, 1 Ag 2.51
9 Pd 0.7508 0.2492 0.7508  1 In 2.49, 1 Ag 2.51
10 Pd 0.7508 0.7508 0.2492  1 In 2.49, 1 Ag 2.51

Here is AcIn2AgPd4 after structural relaxation from Alexandria. Energies are from PBE.

- crystal system = trigonal
- total magnetization (μB per cell) = 0.0
- VASP energy (eV per atom) = -4.68
- energy of formation from the pure elements (eV/atom) = -0.533

a b c (Å): 9.4276 9.4276 9.4276
angles (deg): 28.24 28.24 28.24
Closest atoms and distances in Å follow each position.
Fractional positions:
1 Ac 0.0000 0.0000 0.0000  8 Pd 3.21-3.40
2 In 0.2337 0.2337 0.2337  7 Pd 2.75-2.94
3 In 0.7663 0.7663 0.7663  7 Pd 2.75-2.94
4 Ag 0.5000 0.5000 0.5000  8 Pd 2.72-2.88
5 Pd 0.1253 0.1253 0.1253  4 In 2.75-2.94, 3 Ag 2.88
6 Pd 0.3996 0.3996 0.3996  1 Ag 2.72, 3 In 2.81
7 Pd 0.6004 0.6004 0.6004  1 Ag 2.72, 3 In 2.81
8 Pd 0.8747 0.8747 0.8747  4 In 2.75-2.94, 3 Ag 2.88

Here is AcInAgPd2 after structural relaxation from Alexandria. Energies are from PBE.

- crystal system = orthorhombic
- total magnetization (μB per cell) = 0.0
- VASP energy (eV per atom) = -4.50
- energy of formation from the pure elements (eV/atom) = -0.481

a b c (Å): 7.5254 7.5254 5.7919
angles (deg): 90.00 90.00 134.44
Closest atoms and distances in Å follow each position.
Fractional positions:
1 Ac 0.2500 0.7500 0.7687  8 Pd 3.05-3.34
2 Ac 0.7500 0.2500 0.2313  8 Pd 3.05-3.34
3 In 0.2500 0.2500 0.5000  4 Pd 2.82, 2 In 2.91
4 In 0.7500 0.7500 0.5000  4 Pd 2.82, 2 In 2.91
5 Ag 0.0000 0.0000 0.0000  2 Pd 2.72, 2 Ag 2.91
6 Ag 0.5000 0.5000 0.0000  2 Pd 2.72, 2 Ag 2.91
7 Pd 0.1523 0.8477 0.2964  1 Pd 2.71, 1 Ag 2.72, 2 In 2.82
8 Pd 0.3477 0.6523 0.2964  1 Pd 2.71, 1 Ag 2.72, 2 In 2.82
9 Pd 0.6523 0.3477 0.7036  1 Pd 2.71, 1 Ag 2.72, 2 In 2.82
10 Pd 0.8477 0.1523 0.7036  1 Pd 2.71, 1 Ag 2.72, 2 In 2.82

Here is AcPmInAg after structural relaxation from Alexandria. Energies are from PBE.

- crystal system = cubic
- relative energy among the computed polymorphs (eV per formula unit) = 0.10
- total magnetization (μB per cell) = 0.0
- VASP energy (eV per atom) = -3.94
- energy of formation from the pure elements (eV/atom) = -0.327

a b c (Å): 5.5635 5.5635 5.5635
angles (deg): 60.00 60.00 60.00
Closest atoms and distances in Å follow each position.
Fractional positions:
1 Ac 0.0000 0.0000 0.0000  4 In 3.41, 4 Ag 3.41
2 Pm 0.5000 0.5000 0.5000  4 In 3.41, 4 Ag 3.41
3 In 0.7500 0.7500 0.7500  4 Ac 3.41, 4 Pm 3.41
4 Ag 0.2500 0.2500 0.2500  4 Ac 3.41, 4 Pm 3.41

Here is AcPmInAg after structural relaxation from Alexandria. Energies are from PBE.

- crystal system = tetragonal
- relative energy among the computed polymorphs (eV per formula unit) = 0.00
- total magnetization (μB per cell) = 0.0
- VASP energy (eV per atom) = -3.96
- energy of formation from the pure elements (eV/atom) = -0.353

a b c (Å): 3.8471 3.8471 8.0994
angles (deg): 90.00 90.00 90.00
Closest atoms and distances in Å follow each position.
Fractional positions:
1 Ac 0.0000 0.0000 0.0000  4 Ag 3.50, 4 In 3.54, 4 Ac 3.85, 1 Pm 3.89
2 Pm 0.0000 0.0000 0.5199  4 Ag 3.20, 4 In 3.34
3 In 0.5000 0.5000 0.2804  4 Pm 3.34, 4 Ac 3.54, 1 Ag 3.63
4 Ag 0.5000 0.5000 0.7290  4 Pm 3.20, 4 Ac 3.50